First-principles (GGA-PBE) data for SrEu2Tm after structural relaxation, as listed in Alexandria via LeMat-Bulk.

Summary:
Distance to the lowest polymorph of the same formula in kJ/mol of formula units: 28
Formation energy in eV/atom: 0.1680

```
data_SrEu2Tm
_symmetry_space_group_name_H-M 'P 4/m m m'
_symmetry_Int_Tables_number 123
_symmetry_space_group_name_Hall '-P 4 2'
_cell_length_a 6.1397
_cell_length_b 6.1397
_cell_length_c 4.2620
_cell_angle_alpha 90.00
_cell_angle_beta 90.00
_cell_angle_gamma 90.00
loop_
_atom_site_label
_atom_site_fract_x
_atom_site_fract_y
_atom_site_fract_z
Sr1 0.0000 0.0000 0.0000
Eu1 0.0000 0.5000 0.5000
Tm1 0.5000 0.5000 0.0000
```

First-principles (GGA-PBE) data for BaSiSb2 after structural relaxation, as listed in Alexandria via LeMat-Bulk.

Summary:
E_tot in eV per atom: -4.00

```
data_BaSiSb2
_symmetry_space_group_name_H-M 'P 4/m m m'
_symmetry_Int_Tables_number 123
_symmetry_space_group_name_Hall '-P 4 2'
_cell_length_a 4.1344
_cell_length_b 4.1344
_cell_length_c 6.9474
_cell_angle_alpha 90.00
_cell_angle_beta 90.00
_cell_angle_gamma 90.00
loop_
_atom_site_label
_atom_site_fract_x
_atom_site_fract_y
_atom_site_fract_z
Ba1 0.0000 0.0000 0.0000
Si1 0.0000 0.0000 0.5000
Sb1 0.5000 0.5000 0.2992
```

First-principles (GGA-PBE) data for BaSe2NF after structural relaxation, as listed in Alexandria via LeMat-Bulk.

Summary:
Distance to the lowest polymorph of the same formula in kJ/mol of formula units: 347

```
data_BaSe2NF
_symmetry_space_group_name_H-M 'P 4/m m m'
_symmetry_Int_Tables_number 123
_symmetry_space_group_name_Hall '-P 4 2'
_cell_length_a 6.5684
_cell_length_b 6.5684
_cell_length_c 5.4057
_cell_angle_alpha 90.00
_cell_angle_beta 90.00
_cell_angle_gamma 90.00
loop_
_atom_site_label
_atom_site_fract_x
_atom_site_fract_y
_atom_site_fract_z
Ba1 0.0000 0.0000 0.0000
Se1 0.0000 0.5000 0.0000
N1 0.0000 0.0000 0.5000
F1 0.5000 0.5000 0.5000
```

Number 1: volume 40.16 Å³/atom. Number 2: volume 29.69 Å³/atom. Number 3: volume 46.64 Å³/atom.